No. 1
5
Lattice="-2.7658 1.9840 3.5624 -3.9617 -2.3265 -1.7802 0.9653 -3.8636 2.9012" Properties=species:S:1:pos:R:3 comment="MgAl3Au | Alexandria | GGA-PBE | optimized geometry" polymorph_energy_ev_per_fu=2.46 pbc="T T T"
Al -1.3829 0.9920 1.7812
Mg -2.8811 -2.1031 2.3417
Al 0.4826 -1.9318 1.4506
Al -1.9809 -1.1633 -0.8901
Au 0.0000 0.0000 0.0000

---

No. 2
Material: MgAlAu
Method: DFT, GGA-PBE
State: optimized geometry

Structure (extended XYZ):
```
6
Lattice="4.2310 0.0000 -0.0162 0.0000 5.3898 0.0000 -2.0982 0.0000 4.8668" Properties=species:S:1:pos:R:3 pbc="T T T"
Al 0.0000 2.6949 0.0000
Al 0.0000 0.0000 0.0000
Mg 2.1247 4.0424 2.0057
Au 2.1175 1.3475 0.9210
Mg 0.0081 1.3475 2.8449
Au 0.0153 4.0424 3.9297
```

---

No. 3
Material: Mg2Al2Au5
Method: DFT, GGA-PBE
State: optimized geometry

Structure (extended XYZ):
```
18
Lattice="-5.6992 -4.0205 1.0019 4.0163 -5.8379 -0.5806 -0.9128 3.0146 6.9050" Properties=species:S:1:pos:R:3 pbc="T T T"
Au -2.8768 -3.5045 2.2889
Au -3.3728 -4.1805 5.6546
Mg -0.3925 -4.8900 2.9221
Au 0.2811 -3.3393 5.0374
Al -3.4705 -5.5220 0.6545
Au -0.8414 -4.9292 0.2106
Au -4.3574 -0.5395 5.7650
Au 0.0000 0.0000 0.0000
Mg 0.4490 0.0392 2.7115
Au -1.8922 -7.1455 2.1785
Au 1.7617 -6.3044 1.5613
Al -1.4601 -2.2919 0.2749
Al 1.7876 -4.3365 -0.2333
Au 0.7771 -2.6633 1.6716
Mg -2.2033 -1.9538 4.4042
Al -0.2228 -7.5665 0.1463
Au -0.7035 0.3017 5.1478
Mg 2.6545 -2.8625 3.6129
```

---

No. 4
5
Lattice="4.9765 0.0000 0.0000 0.0000 4.9765 0.0000 0.0000 0.0000 4.9765" Properties=species:S:1:pos:R:3 comment="MgAlAu3 | Alexandria | GGA-PBE | optimized geometry" polymorph_energy_ev_per_fu=4.28 pbc="T T T"
Al 2.4882 2.4882 2.4882
Mg 0.0000 0.0000 0.0000
Au 2.4882 0.0000 0.0000
Au 0.0000 2.4882 0.0000
Au 0.0000 0.0000 2.4882

---

No. 5
Material: MgAlAu
Method: DFT, GGA-PBE
State: optimized geometry

Structure (extended XYZ):
```
6
Lattice="3.6203 0.0000 0.0000 0.0000 4.5912 0.0000 0.0000 0.0000 7.0288" Properties=species:S:1:pos:R:3 pbc="T T T"
Au 0.0000 2.2956 3.3674
Au 1.8101 0.0000 6.8818
Mg 1.8101 2.2956 5.4247
Mg 0.0000 0.0000 1.9104
Al 1.8101 2.2956 1.3507
Al 0.0000 0.0000 4.8651
```

---

No. 6
Material: Mg3AlAu4
Method: DFT, GGA-PBE
State: optimized geometry

Structure (extended XYZ):
```
16
Lattice="-2.3537 0.4148 3.9235 -5.7067 -0.9027 -3.3279 0.6482 -9.0636 1.3471" Properties=species:S:1:pos:R:3 pbc="T T T"
Mg 0.3241 -4.5318 0.6735
Al -2.5292 -4.9832 -0.9904
Al -2.8533 -0.4514 -1.6640
Mg 0.0000 0.0000 0.0000
Mg -3.8652 -2.5104 0.6297
Au -5.3955 -0.4600 -0.4984
Mg -1.0125 -2.0589 2.2948
Mg -0.6929 -6.5899 2.9758
Au -5.0714 -4.9918 0.1751
Mg -3.5469 -7.0412 1.3129
Au -2.6648 -0.0280 1.0940
Au -1.0050 -7.0327 0.1471
Au -3.6771 -2.0871 3.3876
Au -2.3407 -4.5598 1.7675
Au -6.4071 -2.5189 1.7955
Au -3.7351 -7.4645 -1.4450
```

---

No. 7
9
Lattice="-2.5381 0.9581 3.7180 -2.0237 -1.4753 -3.8501 2.7770 -8.0282 3.9645" Properties=species:S:1:pos:R:3 comment="Mg3Al2Au4 | Alexandria | GGA-PBE | optimized geometry" polymorph_energy_ev_per_fu=0.00 pbc="T T T"
Mg 0.2027 -6.0278 4.5404
Au -2.1190 -5.7193 2.8759
Au 0.3342 -2.8262 0.9564
Au 0.4984 -7.8317 2.3583
Al 0.1837 -5.3117 1.4941
Mg 0.0000 0.0000 0.0000
Al -1.9685 -3.2338 2.3382
Mg -1.9876 -2.5177 -0.7081
Au -2.2832 -0.7138 1.4740

---

No. 8
Material: Mg3Al4Au4
Method: DFT, GGA-PBE
State: optimized geometry

Structure (extended XYZ):
```
11
Lattice="4.0161 0.0000 0.0000 0.0000 7.6362 0.0000 -2.0080 -3.8181 6.7780" Properties=species:S:1:pos:R:3 pbc="T T T"
Au 2.0080 6.0780 0.0000
Au 2.0080 1.5581 0.0000
Al 0.0000 1.4812 4.3659
Al 0.0000 -1.4812 4.3659
Au 0.0000 3.8181 3.1369
Mg 0.0000 3.8181 0.0000
Au 2.0080 0.0000 3.6412
Mg 2.0080 3.8181 5.2755
Mg 0.0000 0.0000 1.5026
Al 2.0080 2.3369 2.4122
Al 2.0080 5.2993 2.4122
```

---

Result set for ΔE_f: 26.2, -40.8, -34.1, 42.5, -38.6, -53.3, -48.9, -43.2 kJ per mole of atoms, one per record in the order listed.
Result set for VASP energy: -2.95, -3.29, -3.36, -2.59, -3.27, -3.26, -3.33, -3.44 eV per atom, one per record in the order listed.